First-principles (PBE+U) data for a relaxed Sr2LaMn2O7 crystal, as listed in Alexandria.

Output
As for the space group: No. 107. Its energy relative to the lowest polymorph listed for this composition is 0.009 eV per atom. The total DFT energy (no corrections) is -0.5332 Ry per atom.

Cell: 10.447 10.447 10.447 Å, 158.28 158.28 30.91°
Element x y z (fractional)
Sr: 0.000 0.000 0.000
Sr: 0.176 0.176 0.000
La: 0.812 0.812 0.000
Mn: 0.399 0.399 0.000
Mn: 0.594 0.594 0.000
O: 0.093 0.593 0.500
O: 0.299 0.299 0.000
O: 0.393 0.893 0.500
O: 0.494 0.494 0.000
O: 0.593 0.093 0.500
O: 0.696 0.696 0.000
O: 0.893 0.393 0.500